# 1
First-principles (PBE) data for a geometry-optimized NaAs2Rh structure, as listed in Alexandria via LeMat-Bulk.

Lattice parameters (Å, degrees): 4.0975 4.0975 6.1966 70.69 70.69 60.00
Last column: nearest neighbours and their distance in Å.
Positions (direct):
Rh  0.6778  0.6778  0.9665  6 As 2.45-2.62
As  0.0485  0.0485  0.8546  3 Rh 2.45
As  0.2786  0.2786  0.1643  3 Rh 2.62
Na  0.4951  0.4951  0.5146  6 As 3.06-3.10, 1 Rh 3.14

Space group ... R3m
Energy relative to the elements ... -0.35 eV per atom
Excess energy over the best structure of this formula in the dataset ... 0.0 meV/atom

---

# 2
First-principles (PBE) data for a geometry-optimized KReAs2Br structure, as listed in Alexandria via LeMat-Bulk.

Lattice parameters (Å, degrees): 5.9952 5.9952 5.6361 90.00 90.00 90.00
Last column: nearest neighbours and their distance in Å.
Positions (direct):
As  0.0000  0.5000  0.0000  2 K 3.00
As  0.5000  0.0000  0.0000  2 K 3.00
Br  0.0000  0.0000  0.5000  2 K 2.82
K  0.0000  0.0000  0.0000  2 Br 2.82, 4 As 3.00
Re  0.5000  0.5000  0.5000  8 As 4.11, 4 Br 4.24

Space group ... P4/mmm
Formation energy (no corrections) ... 2.026 eV/atom
Excess energy over the best structure of this formula in the dataset ... 2119.1 meV/atom

---

# 3
First-principles (PBE) data for a geometry-optimized FeTcSb2Ru structure, as listed in Alexandria via LeMat-Bulk.

Lattice parameters (Å, degrees): 4.7989 4.3652 4.7989 90.00 90.00 90.00
Last column: nearest neighbours and their distance in Å.
Positions (direct):
Fe  0.0000  0.0000  0.0000  2 Ru 2.18, 4 Sb 2.40
Sb  0.5000  0.0000  0.0000  2 Fe 2.40
Sb  0.0000  0.0000  0.5000  2 Fe 2.40
Ru  0.0000  0.5000  0.0000  2 Fe 2.18
Tc  0.5000  0.5000  0.5000  8 Sb 3.24, 4 Ru 3.39

Space group ... P4/mmm
Formation energy (no corrections) ... 1.173 eV/atom

---

# 4
First-principles (PBE) data for a geometry-optimized LiTmMg14 structure, as listed in Alexandria via LeMat-Bulk.

Lattice parameters (Å, degrees): 6.5467 6.5467 8.7615 90.00 90.00 90.00
Last column: nearest neighbours and their distance in Å.
Positions (direct):
Mg  0.6227  0.6227  0.7540  10 Mg 3.15-3.30, 1 Li 3.20, 1 Tm 3.23
Mg  0.6227  0.1273  0.7540  10 Mg 3.15-3.30, 1 Li 3.20, 1 Tm 3.23
Mg  0.1273  0.6227  0.2460  10 Mg 3.15-3.30, 1 Li 3.20, 1 Tm 3.23
Mg  0.6227  0.6227  0.2460  10 Mg 3.15-3.30, 1 Li 3.20, 1 Tm 3.23
Mg  0.8750  0.3750  0.0000  12 Mg 3.16-3.27
Mg  0.6227  0.1273  0.2460  10 Mg 3.15-3.30, 1 Li 3.20, 1 Tm 3.23
Mg  0.1273  0.6227  0.7540  10 Mg 3.15-3.30, 1 Li 3.20, 1 Tm 3.23
Mg  0.3750  0.8750  0.0000  12 Mg 3.16-3.27
Mg  0.3750  0.3750  0.0000  12 Mg 3.15-3.27
Mg  0.1273  0.1273  0.2460  10 Mg 3.15-3.30, 1 Li 3.20, 1 Tm 3.23
Mg  0.8750  0.8750  0.0000  12 Mg 3.18-3.27
Mg  0.3750  0.8750  0.5000  8 Mg 3.21, 2 Li 3.27, 2 Tm 3.27
Mg  0.1273  0.1273  0.7540  10 Mg 3.15-3.30, 1 Li 3.20, 1 Tm 3.23
Mg  0.8750  0.3750  0.5000  8 Mg 3.21, 2 Li 3.27, 2 Tm 3.27
Li  0.3750  0.3750  0.5000  12 Mg 3.20-3.27
Tm  0.8750  0.8750  0.5000  12 Mg 3.23-3.27

Space group ... P4/mmm
Energy relative to the elements ... -0.01 eV per atom

---

# 5
First-principles (PBE) data for a geometry-optimized DyPuU structure, as listed in Alexandria via LeMat-Bulk.

Lattice parameters (Å, degrees): 3.7141 5.1002 8.1993 90.00 103.09 90.00
Last column: nearest neighbours and their distance in Å.
Positions (direct):
U  0.7561  0.2500  0.5121  2 Pu 2.52
U  0.2439  0.7500  0.4879  2 Pu 2.52
Pu  0.3624  0.2500  0.7247  2 U 2.52
Pu  0.6376  0.7500  0.2753  2 U 2.52
Dy  0.9305  0.7500  0.8611  4 Pu 3.34, 4 Dy 3.38-3.71, 2 U 3.51
Dy  0.0695  0.2500  0.1389  4 Pu 3.34, 4 Dy 3.38-3.71, 2 U 3.51

Space group ... Cmcm
Energy relative to the elements ... 0.10 eV per atom
Excess energy over the best structure of this formula in the dataset ... 0.0 meV/atom

---

# 6
First-principles (PBE) data for a geometry-optimized Na3TbCe2Se6 structure, as listed in Alexandria via LeMat-Bulk.

Lattice parameters (Å, degrees): 7.3777 7.3777 7.3925 99.58 99.58 120.00
Last column: nearest neighbours and their distance in Å.
Positions (direct):
Se  0.0781  0.4046  0.2343  1 Tb 2.91, 2 Ce 2.97, 3 Na 3.06-3.12
Se  0.5954  0.9219  0.7657  1 Tb 2.91, 2 Ce 2.97, 3 Na 3.06-3.12
Se  0.7513  0.7513  0.2334  1 Tb 2.91, 2 Ce 2.97, 3 Na 3.06-3.12
Se  0.2487  0.2487  0.7666  1 Tb 2.91, 2 Ce 2.97, 3 Na 3.06-3.12
Se  0.4046  0.0781  0.2343  1 Tb 2.91, 2 Ce 2.97, 3 Na 3.06-3.12
Se  0.9219  0.5954  0.7657  1 Tb 2.91, 2 Ce 2.97, 3 Na 3.06-3.12
Na  0.5000  0.5000  0.5000  6 Se 3.06-3.12
Na  0.1665  0.8335  0.5000  6 Se 3.06-3.12
Na  0.8335  0.1665  0.5000  6 Se 3.06-3.12
Tb  0.0000  0.0000  0.0000  6 Se 2.91
Ce  0.3333  0.6667  0.0000  6 Se 2.97
Ce  0.6667  0.3333  0.0000  6 Se 2.97

Space group ... C2/m
Formation energy (no corrections) ... -1.646 eV/atom

---

# 7
First-principles (PBE) data for a geometry-optimized Mg2MoAu2 structure, as listed in Alexandria via LeMat-Bulk.

Lattice parameters (Å, degrees): 3.8245 3.8245 7.2872 74.79 74.79 90.00
Last column: nearest neighbours and their distance in Å.
Positions (direct):
Mg  0.3977  0.3977  0.2045  4 Au 2.77, 1 Mg 2.77, 4 Mo 3.04
Mg  0.6023  0.6023  0.7955  4 Au 2.77, 1 Mg 2.77, 4 Mo 3.04
Au  0.2500  0.7500  0.5000  4 Au 2.70, 4 Mg 2.77
Au  0.7500  0.2500  0.5000  4 Au 2.70, 4 Mg 2.77
Mo  0.0000  0.0000  0.0000  8 Mg 3.04

Space group ... I4/mmm
Energy relative to the elements ... 0.35 eV per atom

---

# 8
First-principles (PBE) data for a geometry-optimized TaTlS2 structure, as listed in Alexandria via LeMat-Bulk.

Lattice parameters (Å, degrees): 3.8589 3.8589 5.4101 90.00 90.00 90.00
Last column: nearest neighbours and their distance in Å.
Positions (direct):
S  0.5000  0.5000  0.5000  2 Tl 2.71, 4 Ta 2.73
S  0.0000  0.0000  0.0000  2 Ta 2.71, 4 Tl 2.73
Ta  0.0000  0.0000  0.5000  6 S 2.71-2.73
Tl  0.5000  0.5000  0.0000  6 S 2.71-2.73

Space group ... P4/mmm
Formation energy (no corrections) ... 0.170 eV/atom

---

# 9
First-principles (PBE) data for a geometry-optimized BeSb2W structure, as listed in Alexandria via LeMat-Bulk.

Lattice parameters (Å, degrees): 3.4273 3.4765 6.6047 69.98 90.00 90.00
Last column: nearest neighbours and their distance in Å.
Positions (direct):
Be  0.5000  0.7500  0.7500  4 Sb 2.58
Sb  0.0000  0.9200  0.9990  2 Be 2.58, 2 W 2.88
Sb  0.0000  0.5800  0.5010  2 Be 2.58, 2 W 2.88
W  0.5000  0.2500  0.2500  8 Sb 2.88-2.91, 2 Be 3.16

Space group ... P2/m
Formation energy (no corrections) ... 0.575 eV/atom

---

# 10
First-principles (PBE) data for a geometry-optimized Er2AuS structure, as listed in Alexandria via LeMat-Bulk.

Lattice parameters (Å, degrees): 3.7985 3.7985 7.8066 75.92 75.92 60.00
Last column: nearest neighbours and their distance in Å.
Positions (direct):
Er  0.2487  0.2487  0.2539  3 S 2.89, 3 Au 2.92
Er  0.0852  0.0852  0.7443  3 S 2.83, 3 Au 2.89
Au  0.6681  0.6681  0.9957  6 Er 2.89-2.92
S  0.4980  0.4980  0.5060  6 Er 2.83-2.89

Space group ... R3m
Formation energy (no corrections) ... -1.257 eV/atom
Excess energy over the best structure of this formula in the dataset ... 153.0 meV/atom

---

# 11
First-principles (PBE) data for a geometry-optimized CeIn3Br6 structure, as listed in Alexandria via LeMat-Bulk.

Lattice parameters (Å, degrees): 7.8103 8.7176 11.3951 90.00 86.16 90.00
Last column: nearest neighbours and their distance in Å.
Positions (direct):
Br  0.8532  0.9314  0.2376  1 Ce 2.93, 1 In 3.24
Br  0.8165  0.6657  0.5426  1 Ce 2.93, 2 In 3.27
Br  0.3165  0.8343  0.0426  1 Ce 2.93, 2 In 3.27
Br  0.6468  0.4314  0.2624  1 Ce 2.93, 1 In 3.24
Br  0.6635  0.2231  0.5860  1 Ce 2.93
Br  0.1635  0.2769  0.0860  1 Ce 2.93
Br  0.8365  0.7231  0.9140  1 Ce 2.93
Br  0.1468  0.0686  0.7624  1 Ce 2.93, 1 In 3.24
Br  0.1835  0.3343  0.4574  1 Ce 2.93, 2 In 3.27
Br  0.3365  0.7769  0.4140  1 Ce 2.93
Br  0.3532  0.5686  0.7376  1 Ce 2.93, 1 In 3.24
Br  0.6835  0.1657  0.9574  1 Ce 2.93, 2 In 3.27
In  0.9751  0.4199  0.7226  6 Br 3.24-3.55
In  0.4751  0.0801  0.2226  6 Br 3.24-3.55
In  0.5249  0.9199  0.7774  6 Br 3.24-3.55
In  0.0000  0.0000  0.5000  6 Br 3.27-3.36
In  0.5000  0.5000  0.0000  6 Br 3.27-3.36
In  0.0249  0.5801  0.2774  6 Br 3.24-3.55
Ce  0.5000  0.5000  0.5000  6 Br 2.93
Ce  0.0000  0.0000  0.0000  6 Br 2.93

Space group ... P2_1/c
Formation energy (no corrections) ... -1.123 eV/atom

---

# 12
First-principles (PBE) data for a geometry-optimized DyY6Ho12 structure, as listed in Alexandria via LeMat-Bulk.

Lattice parameters (Å, degrees): 8.7866 8.7866 8.7866 98.50 98.50 98.50
Last column: nearest neighbours and their distance in Å.
Positions (direct):
Y  0.7969  0.2559  0.7969  4 Ho 2.96-3.20
Y  0.2559  0.7969  0.7969  4 Ho 2.96-3.20
Y  0.2031  0.2031  0.7441  4 Ho 2.96-3.20
Y  0.7441  0.2031  0.2031  4 Ho 2.96-3.20
Y  0.2031  0.7441  0.2031  4 Ho 2.96-3.20
Y  0.7969  0.7969  0.2559  4 Ho 2.96-3.20
Ho  0.4714  0.1852  0.4714  9 Ho 3.46-3.86, 3 Y 3.60-3.64
Ho  0.1180  0.5000  0.8820  4 Y 2.96-3.20, 1 Ho 3.14
Ho  0.8820  0.5000  0.1180  4 Y 2.96-3.20, 1 Ho 3.14
Ho  0.5000  0.1180  0.8820  4 Y 2.96-3.20, 1 Ho 3.14
Ho  0.4714  0.4714  0.1852  9 Ho 3.46-3.86, 3 Y 3.60-3.64
Ho  0.1180  0.8820  0.5000  4 Y 2.96-3.20, 1 Ho 3.14
Ho  0.8820  0.1180  0.5000  4 Y 2.96-3.20, 1 Ho 3.14
Ho  0.8148  0.5286  0.5286  9 Ho 3.46-3.86, 3 Y 3.60-3.64
Ho  0.1852  0.4714  0.4714  9 Ho 3.46-3.86, 3 Y 3.60-3.64
Ho  0.5286  0.8148  0.5286  9 Ho 3.46-3.86, 3 Y 3.60-3.64
Ho  0.5000  0.8820  0.1180  4 Y 2.96-3.20, 1 Ho 3.14
Ho  0.5286  0.5286  0.8148  9 Ho 3.46-3.86, 3 Y 3.60-3.64
Dy  0.0000  0.0000  0.0000  6 Y 3.59

Space group ... R-3m
Energy relative to the elements ... 0.47 eV per atom
Excess energy over the best structure of this formula in the dataset ... 256.4 meV/atom

---

# 13
First-principles (PBE) data for a geometry-optimized Ac2Ni3As4Ru structure, as listed in Alexandria via LeMat-Bulk.

Lattice parameters (Å, degrees): 4.3383 4.3383 9.8598 90.00 90.00 90.00
Last column: nearest neighbours and their distance in Å.
Positions (direct):
Ni  0.0000  0.0000  0.5000  4 As 2.53
Ni  0.5000  0.0000  0.8872  5 As 2.44-2.52
Ni  0.0000  0.5000  0.1128  5 As 2.44-2.52
Ru  0.5000  0.5000  0.5000  4 As 2.53
As  0.0000  0.5000  0.3683  3 Ni 2.52-2.53, 2 Ru 2.53
As  0.0000  0.0000  0.0000  4 Ni 2.44
As  0.5000  0.0000  0.6317  3 Ni 2.52-2.53, 2 Ru 2.53
As  0.5000  0.5000  0.0000  4 Ni 2.44
Ac  0.0000  0.5000  0.7535  8 As 3.26-3.29, 2 Ru 3.31, 7 Ni 3.31-3.54
Ac  0.5000  0.0000  0.2465  8 As 3.26-3.29, 7 Ni 3.31-3.54, 2 Ru 3.31

Space group ... P-4m2
Energy relative to the elements ... -0.75 eV per atom

---

| no. | electronic total energy (eV for the cell shown) |
| --- | --- |
| 1 | -19.4 |
| 2 | -14.4 |
| 3 | -30.5 |
| 4 | -28.8 |
| 5 | -59.8 |
| 6 | -61.1 |
| 7 | -18.8 |
| 8 | -21.8 |
| 9 | -22.6 |
| 10 | -21.6 |
| 11 | -70.8 |
| 12 | -89.3 |
| 13 | -61.0 |